VRe2O9 after structural relaxation. Source: the Alexandria database, functional PBE+U.

Cell: 8.1508 8.1508 9.1340 Å, 90.00 90.00 138.37°
Element x y z (fractional)
V (0.1207, 0.8793, 0.5000)
V (0.8793, 0.1207, 0.0000)
Re (0.2280, 0.7720, 0.9058)
Re (0.4834, 0.5166, 0.5919)
Re (0.5166, 0.4834, 0.0919)
Re (0.7720, 0.2280, 0.4058)
O (0.0346, 0.4603, 0.9515)
O (0.0695, 0.9305, 0.3460)
O (0.1339, 0.8661, 0.0102)
O (0.1977, 0.8023, 0.7209)
O (0.1988, 0.3004, 0.1033)
O (0.3004, 0.1988, 0.6033)
O (0.4071, 0.5929, 0.7323)
O (0.4273, 0.5727, 0.4276)
O (0.4603, 0.0346, 0.4515)
O (0.5397, 0.9654, 0.9515)
O (0.5727, 0.4273, 0.9276)
O (0.5929, 0.4071, 0.2323)
O (0.6996, 0.8012, 0.1033)
O (0.8012, 0.6996, 0.6033)
O (0.8023, 0.1977, 0.2209)
O (0.8661, 0.1339, 0.5102)
O (0.9305, 0.0695, 0.8460)
O (0.9654, 0.5397, 0.4515)

Output
- V: 403 Å³/cell
- Total DFT energy (no corrections): -96.81 eV per formula unit
- Symmetry: No. 36
- N(E_F): 0.00 states/eV/cell